[1]
Material: KBe2Ni
Method: DFT, PBE
State: relaxed

```
4
Lattice="4.496 0.000 0.000 2.248 3.894 0.000 2.248 1.298 3.671" Properties=species:S:1:pos:R:3 pbc="T T T"
Ni 2.248 1.298 0.918
K 4.496 2.596 1.835
Be 0.000 0.000 0.000
Be 6.744 3.894 2.753
```

## Properties
As for the excess energy over the best structure of this formula in the dataset: 1067.5 meV/atom. Its size of the total moment is 0.00 μB per cell. The value obtained for the formation energy is 1.213 eV per atom. The value obtained for the total energy is -9.5 eV for the cell shown. The volume is 64.3 Å³/cell.

=====

[2]
Material: KBe2Ni
Method: DFT, PBE
State: relaxed

```
4
Lattice="-2.158 2.185 2.255 -1.630 -1.489 3.105 3.616 1.624 4.771" Properties=species:S:1:pos:R:3 pbc="T T T"
Ni 0.981 2.059 8.286
K -0.054 1.161 5.048
Be -0.005 0.001 0.010
Be -1.180 0.259 1.853
```

## Properties
As for the excess energy over the best structure of this formula in the dataset: 0.7 meV/atom. Its size of the total moment is 0.00 μB per cell. The value obtained for the formation energy is 0.147 eV per atom. The value obtained for the total energy is -13.7 eV for the cell shown. The volume is 73.9 Å³/cell.

=====

[3]
Material: KBeNi
Method: DFT, PBE
State: relaxed

```
3
Lattice="-2.193 -0.041 -3.952 -0.892 -3.929 -2.049 -4.249 -1.525 -0.211" Properties=species:S:1:pos:R:3 pbc="T T T"
Ni -3.667 -2.747 -3.106
K 0.000 0.000 0.000
Be -5.501 -4.121 -4.659
```

## Properties
As for the excess energy over the best structure of this formula in the dataset: 887.3 meV/atom. Its size of the total moment is 0.00 μB per cell. The value obtained for the formation energy is 1.230 eV per atom. The value obtained for the total energy is -6.9 eV for the cell shown. The volume is 65.3 Å³/cell.

=====

[4]
Material: KBe2Ni
Method: DFT, PBE
State: relaxed

```
4
Lattice="3.080 0.000 0.000 0.000 2.681 0.048 0.000 2.642 7.504" Properties=species:S:1:pos:R:3 pbc="T T T"
Ni 1.540 3.993 5.664
K 1.540 1.331 1.888
Be 0.000 2.637 6.685
Be 0.000 2.667 4.595
```

## Properties
As for the excess energy over the best structure of this formula in the dataset: 251.8 meV/atom. Its size of the total moment is 0.43 μB per cell. The value obtained for the formation energy is 0.398 eV per atom. The value obtained for the total energy is -12.7 eV for the cell shown. The volume is 61.6 Å³/cell.

=====

[5]
Material: K3BeNi
Method: DFT, PBE
State: relaxed

```
5
Lattice="6.043 0.000 0.000 0.000 6.043 0.000 0.000 0.000 6.043" Properties=species:S:1:pos:R:3 pbc="T T T"
Ni 0.000 0.000 0.000
K 0.000 3.021 0.000
K 0.000 0.000 3.021
K 3.021 0.000 0.000
Be 3.021 3.021 3.021
```

## Properties
As for the excess energy over the best structure of this formula in the dataset: 0.0 meV/atom. Its size of the total moment is 0.00 μB per cell. The value obtained for the formation energy is 0.998 eV per atom. The value obtained for the total energy is -7.8 eV for the cell shown. The volume is 220.7 Å³/cell.

=====

[6]
Material: KBeNi
Method: DFT, PBE
State: relaxed

```
3
Lattice="4.845 0.000 0.000 2.422 4.196 0.000 2.422 1.399 3.956" Properties=species:S:1:pos:R:3 pbc="T T T"
Ni 0.000 0.000 0.000
K 7.267 4.196 2.967
Be 4.845 2.797 1.978
```

## Properties
As for the excess energy over the best structure of this formula in the dataset: 1506.3 meV/atom. Its size of the total moment is 0.40 μB per cell. The value obtained for the formation energy is 1.849 eV per atom. The value obtained for the total energy is -5.1 eV for the cell shown. The volume is 80.4 Å³/cell.

=====

[7]
Material: KBe3Ni
Method: DFT, PBE
State: relaxed

```
5
Lattice="-2.120 -1.234 -4.156 -1.523 -4.120 2.000 -4.060 2.190 1.420" Properties=species:S:1:pos:R:3 pbc="T T T"
Ni -3.851 -1.582 -0.368
K 0.000 0.000 0.000
Be -0.762 -2.060 1.000
Be -2.030 1.095 0.710
Be -1.060 -0.617 -2.078
```

## Properties
As for the excess energy over the best structure of this formula in the dataset: 2250.3 meV/atom. Its size of the total moment is 0.00 μB per cell. The value obtained for the formation energy is 2.744 eV per atom. The value obtained for the total energy is -4.3 eV for the cell shown. The volume is 112.4 Å³/cell.

=====

[8]
Material: K4BeNi
Method: DFT, PBE
State: relaxed

```
6
Lattice="0.000 5.025 5.025 5.025 0.000 5.025 5.025 5.025 0.000" Properties=species:S:1:pos:R:3 pbc="T T T"
K 3.774 6.276 6.276
K 6.276 6.276 3.774
K 6.276 3.774 6.276
K 3.774 3.774 3.774
Be 0.000 0.000 0.000
Ni 7.537 7.537 7.537
```

## Properties
Its size of the total moment is 0.36 μB per cell. The value obtained for the formation energy is 1.117 eV per atom. The value obtained for the total energy is -7.2 eV for the cell shown. The volume is 253.8 Å³/cell.

=====

[9]
Material: KBeNi3
Method: DFT, PBE
State: relaxed

```
5
Lattice="-2.244 -2.699 2.735 3.657 -0.527 2.480 -1.180 3.498 2.484" Properties=species:S:1:pos:R:3 pbc="T T T"
Ni 1.829 -0.264 1.240
Ni -0.590 1.749 1.242
Ni -1.122 -1.350 1.367
K 0.000 0.000 0.000
Be 0.117 0.136 3.849
```

## Properties
As for the excess energy over the best structure of this formula in the dataset: 1683.9 meV/atom. Its size of the total moment is 0.63 μB per cell. The value obtained for the formation energy is 2.294 eV per atom. The value obtained for the total energy is -10.7 eV for the cell shown. The volume is 88.1 Å³/cell.

=====

[10]
Material: KBe2Ni
Method: DFT, PBE
State: relaxed

```
4
Lattice="2.879 0.000 0.000 0.000 2.879 0.000 0.000 0.000 7.483" Properties=species:S:1:pos:R:3 pbc="T T T"
Ni 1.439 1.439 6.440
K 0.000 0.000 3.802
Be 0.000 0.000 7.403
Be 1.439 1.439 1.064
```

## Properties
As for the excess energy over the best structure of this formula in the dataset: 336.6 meV/atom. Its size of the total moment is 0.00 μB per cell. The value obtained for the formation energy is 0.482 eV per atom. The value obtained for the total energy is -12.4 eV for the cell shown. The volume is 62.0 Å³/cell.

=====

[11]
Material: KBeNi3
Method: DFT, PBE
State: relaxed

```
5
Lattice="4.205 0.000 0.000 0.000 4.205 0.000 0.000 0.000 4.205" Properties=species:S:1:pos:R:3 pbc="T T T"
Ni 0.000 2.102 0.000
Ni 0.000 0.000 2.102
Ni 2.102 0.000 0.000
K 2.102 2.102 2.102
Be 0.000 0.000 0.000
```

## Properties
As for the excess energy over the best structure of this formula in the dataset: 0.0 meV/atom. Its size of the total moment is 0.13 μB per cell. The value obtained for the formation energy is 0.610 eV per atom. The value obtained for the total energy is -19.1 eV for the cell shown. The volume is 74.4 Å³/cell.

=====

[12]
Material: KBe2Ni
Method: DFT, PBE
State: relaxed

```
4
Lattice="3.804 0.007 0.135 1.893 3.300 0.135 1.724 1.001 5.959" Properties=species:S:1:pos:R:3 pbc="T T T"
Ni 5.565 3.231 4.672
K 1.855 1.077 1.557
Be 1.764 1.024 4.600
Be 3.670 2.130 4.474
```

## Properties
As for the excess energy over the best structure of this formula in the dataset: 0.0 meV/atom. Its size of the total moment is 0.00 μB per cell. The value obtained for the formation energy is 0.146 eV per atom. The value obtained for the total energy is -13.7 eV for the cell shown. The volume is 73.7 Å³/cell.

=====

[13]
Material: KBe2Ni
Method: DFT, PBE
State: relaxed

```
4
Lattice="5.759 -0.007 -0.002 2.512 5.183 0.002 -3.107 -4.232 2.368" Properties=species:S:1:pos:R:3 pbc="T T T"
Ni 3.394 -0.825 1.183
K 1.770 1.770 1.185
Be 7.645 4.784 0.000
Be 4.761 2.980 0.000
```

## Properties
As for the excess energy over the best structure of this formula in the dataset: 531.5 meV/atom. Its size of the total moment is 0.00 μB per cell. The value obtained for the formation energy is 0.677 eV per atom. The value obtained for the total energy is -11.6 eV for the cell shown. The volume is 70.8 Å³/cell.

=====

[14]
Material: KBe4Ni
Method: DFT, PBE
State: relaxed

```
6
Lattice="0.000 3.332 3.332 3.332 0.000 3.332 3.332 3.332 0.000" Properties=species:S:1:pos:R:3 pbc="T T T"
K 4.999 4.999 4.999
Be 2.462 4.203 4.203
Be 4.203 4.203 2.462
Be 4.203 2.462 4.203
Be 2.462 2.462 2.462
Ni 0.000 0.000 0.000
```

## Properties
Its size of the total moment is 0.00 μB per cell. The value obtained for the formation energy is 0.673 eV per atom. The value obtained for the total energy is -17.7 eV for the cell shown. The volume is 74.0 Å³/cell.

=====

[15]
Material: KBeNi
Method: DFT, PBE
State: relaxed

```
3
Lattice="-3.223 -0.595 1.667 1.380 -2.525 -2.290 2.561 -2.335 4.117" Properties=species:S:1:pos:R:3 pbc="T T T"
Ni 1.978 -3.826 2.458
K -0.835 -2.017 1.721
Be 2.135 -1.946 3.432
```

## Properties
As for the excess energy over the best structure of this formula in the dataset: 183.5 meV/atom. Its size of the total moment is 0.00 μB per cell. The value obtained for the formation energy is 0.526 eV per atom. The value obtained for the total energy is -9.0 eV for the cell shown. The volume is 63.0 Å³/cell.

=====

[16]
Material: KBe2Ni
Method: DFT, PBE
State: relaxed

```
8
Lattice="4.779 0.000 0.000 0.000 4.779 0.000 2.389 2.389 7.035" Properties=species:S:1:pos:R:3 pbc="T T T"
Ni 0.000 0.000 0.000
Ni 4.779 2.389 3.518
K 2.389 2.389 0.000
K 2.389 4.779 3.518
Be 4.779 1.195 1.759
Be 4.779 3.584 1.759
Be 3.584 2.390 5.276
Be 5.974 2.389 5.276
```

## Properties
As for the excess energy over the best structure of this formula in the dataset: 416.3 meV/atom. Its size of the total moment is 0.00 μB per cell. The value obtained for the formation energy is 0.562 eV per atom. The value obtained for the total energy is -24.2 eV for the cell shown. The volume is 160.7 Å³/cell.

=====

[17]
Material: KBe2Ni
Method: DFT, PBE
State: relaxed

```
4
Lattice="8.978 -0.001 -0.001 8.549 2.743 -0.001 8.549 1.338 2.395" Properties=species:S:1:pos:R:3 pbc="T T T"
Ni 19.557 3.060 1.795
K 6.519 1.020 0.598
Be 0.629 0.098 0.058
Be 12.409 1.942 1.139
```

## Properties
As for the excess energy over the best structure of this formula in the dataset: 541.0 meV/atom. Its size of the total moment is 0.00 μB per cell. The value obtained for the formation energy is 0.687 eV per atom. The value obtained for the total energy is -11.6 eV for the cell shown. The volume is 59.0 Å³/cell.

=====

[18]
Material: KBe2Ni
Method: DFT, PBE
State: relaxed

```
4
Lattice="4.479 -0.070 0.068 2.223 2.067 3.296 2.156 -2.409 3.102" Properties=species:S:1:pos:R:3 pbc="T T T"
Ni 4.429 -0.206 3.233
K 0.000 0.000 0.000
Be 2.214 -0.103 1.616
Be 6.643 -0.309 4.849
```

## Properties
As for the excess energy over the best structure of this formula in the dataset: 1012.5 meV/atom. Its size of the total moment is 0.00 μB per cell. The value obtained for the formation energy is 1.158 eV per atom. The value obtained for the total energy is -9.7 eV for the cell shown. The volume is 63.6 Å³/cell.

=====

[19]
Material: KBe2Ni
Method: DFT, PBE
State: relaxed

```
4
Lattice="2.608 0.000 0.000 0.000 4.715 0.000 0.000 0.000 4.908" Properties=species:S:1:pos:R:3 pbc="T T T"
Ni 0.000 2.357 2.454
K 1.304 0.000 2.454
Be 0.000 0.000 0.000
Be 1.304 2.357 0.000
```

## Properties
As for the excess energy over the best structure of this formula in the dataset: 1014.6 meV/atom. Its size of the total moment is 0.00 μB per cell. The value obtained for the formation energy is 1.160 eV per atom. The value obtained for the total energy is -9.7 eV for the cell shown. The volume is 60.3 Å³/cell.